BaNaHO | Alexandria via LeMat-Bulk | PBE | optimized geometry; raw total energy = -4.1100 eV per atom; crystal system = trigonal
1.0
-3.1060 1.6218 2.2359
-3.5538 1.0870 -1.8617
-5.8546 -8.2531 1.7171
Ba Na H O
2 2 2 2
Direct
0.3966 0.3966 0.8101
0.6034 0.6034 0.1899
0.8079 0.8079 0.5764
0.1921 0.1921 0.4236
0.3059 0.3059 0.0822
0.6941 0.6941 0.9178
0.1134 0.1134 0.6599
0.8866 0.8866 0.3401